## Pr2UP3 (PBE)

Data for an optimized crystal structure of Pr2UP3.

- magnetic moment (μB per formula unit) = 2.101
- E_form (meV/atom) = -1326
- mass density (Mg/m³) = 6.93

abc: 7.121 7.121 12.950
angles: 100.59 100.59 109.35
Fractional positions:
P1 0.930 0.913 0.327
P2 0.854 0.337 0.173
P3 0.768 0.768 0.000
P4 0.232 0.232 0.000
P5 0.663 0.146 0.827
P6 0.087 0.070 0.673
P7 0.320 0.837 0.173
P8 0.396 0.413 0.327
P9 0.163 0.680 0.827
P10 0.482 0.982 0.500
P11 0.018 0.518 0.500
P12 0.587 0.604 0.673
Pr1 0.668 0.168 0.337
Pr2 0.582 0.582 0.163
Pr3 0.252 0.252 0.503
Pr4 0.502 0.002 0.003
Pr5 0.832 0.332 0.663
Pr6 0.998 0.498 0.997
Pr7 0.418 0.418 0.837
Pr8 0.748 0.748 0.497
U1 0.166 0.666 0.333
U2 0.916 0.916 0.833
U3 0.334 0.834 0.667
U4 0.084 0.084 0.167